Record 1
Computed, not measured: crystalline PmCd4Hg at its relaxed geometry at the PBE level of DFT.

Output
Calculated formation energy ... -1.3 eV per formula unit
Polymorph energy (0 for the lowest one) ... 0 meV/atom
SG ... P-1 (2)

Cell and atoms, written as POSCAR:
```
PmCd4Hg
1.0
5.035 0.000 0.000
-2.515 4.474 0.000
-0.015 -0.984 6.507
Pm Cd Hg
1 4 1
direct
0.000 0.000 0.000
0.312 0.625 0.750
0.360 0.718 0.253
0.640 0.282 0.747
0.688 0.375 0.250
0.000 0.000 0.500
```


Record 2
Computed, not measured: crystalline PmCd3Hg3 at its relaxed geometry at the PBE level of DFT.

Output
Calculated formation energy ... 2.5 eV per formula unit
Polymorph energy (0 for the lowest one) ... 484 meV/atom
SG ... Pm-3n (223)

Cell and atoms, written as POSCAR:
```
PmCd3Hg3
1.0
7.729 0.000 0.000
0.000 7.729 0.000
0.000 0.000 7.729
Pm Cd Hg
2 6 6
direct
0.000 0.000 0.000
0.500 0.500 0.500
0.000 0.250 0.500
0.000 0.750 0.500
0.250 0.500 0.000
0.500 0.000 0.250
0.500 0.000 0.750
0.750 0.500 0.000
0.000 0.500 0.250
0.000 0.500 0.750
0.250 0.000 0.500
0.500 0.250 0.000
0.500 0.750 0.000
0.750 0.000 0.500
```


Record 3
Computed, not measured: crystalline PmCd4Hg7 at its relaxed geometry at the PBE level of DFT.

Output
Calculated formation energy ... -0.5 eV per formula unit
Polymorph energy (0 for the lowest one) ... 67 meV/atom
SG ... C2/m (12)

Cell and atoms, written as POSCAR:
```
PmCd4Hg7
1.0
6.258 -3.112 0.000
6.258 3.112 0.000
-4.944 0.000 8.114
Pm Cd Hg
1 4 7
direct
0.000 0.000 0.000
0.253 0.253 0.673
0.499 0.499 0.672
0.501 0.501 0.328
0.747 0.747 0.327
0.004 0.004 0.342
0.252 0.252 0.998
0.263 0.263 0.346
0.500 0.500 0.000
0.737 0.737 0.654
0.748 0.748 0.002
0.996 0.996 0.658
```


Record 4
Computed, not measured: crystalline PmCd7Hg4 at its relaxed geometry at the PBE level of DFT.

Output
Calculated formation energy ... 0.4 eV per formula unit
SG ... C2/m (12)

Cell and atoms, written as POSCAR:
```
PmCd7Hg4
1.0
5.993 -2.968 0.000
5.993 2.968 0.000
-5.429 0.000 8.760
Pm Cd Hg
1 7 4
direct
0.000 0.000 0.000
0.092 0.092 0.429
0.291 0.291 0.350
0.306 0.306 0.086
0.500 0.500 0.000
0.694 0.694 0.914
0.709 0.709 0.650
0.908 0.908 0.571
0.188 0.188 0.762
0.410 0.410 0.674
0.590 0.590 0.326
0.812 0.812 0.238
```


Record 5
Computed, not measured: crystalline Pm6Cd2Hg at its relaxed geometry at the PBE level of DFT.

Output
Calculated formation energy ... 0.2 eV per formula unit
Polymorph energy (0 for the lowest one) ... 247 meV/atom
SG ... C2/m (12)

Cell and atoms, written as POSCAR:
```
Pm6Cd2Hg
1.0
8.258 -3.745 0.000
8.258 3.745 0.000
-1.606 0.000 4.968
Pm Cd Hg
6 2 1
direct
0.082 0.586 0.334
0.248 0.752 0.000
0.414 0.918 0.666
0.586 0.082 0.334
0.752 0.248 0.000
0.918 0.414 0.666
0.334 0.334 0.834
0.666 0.666 0.166
0.000 0.000 0.500
```


Record 6
Computed, not measured: crystalline Pm6CdHg2 at its relaxed geometry at the PBE level of DFT.

Output
Calculated formation energy ... -0.3 eV per formula unit
SG ... C2/m (12)

Cell and atoms, written as POSCAR:
```
Pm6CdHg2
1.0
8.247 -3.723 0.000
8.247 3.723 0.000
-1.628 0.000 4.963
Pm Cd Hg
6 1 2
direct
0.081 0.584 0.333
0.247 0.753 0.000
0.416 0.919 0.667
0.584 0.081 0.333
0.753 0.247 0.000
0.919 0.416 0.667
0.500 0.500 0.500
0.167 0.167 0.167
0.833 0.833 0.833
```


Record 7
Computed, not measured: crystalline PmCd6Hg2 at its relaxed geometry at the PBE level of DFT.

Output
Calculated formation energy ... -0.9 eV per formula unit
Polymorph energy (0 for the lowest one) ... 59 meV/atom
SG ... C2/m (12)

Cell and atoms, written as POSCAR:
```
PmCd6Hg2
1.0
7.790 -4.459 0.000
7.790 4.459 0.000
-0.645 0.000 3.135
Pm Cd Hg
1 6 2
direct
0.000 0.000 0.000
0.004 0.345 0.677
0.329 0.671 0.500
0.345 0.004 0.677
0.655 0.996 0.323
0.671 0.329 0.500
0.996 0.655 0.323
0.349 0.349 0.840
0.651 0.651 0.160
```


Record 8
Computed, not measured: crystalline Pm11Cd9Hg4 at its relaxed geometry at the PBE level of DFT.

Output
Calculated formation energy ... -8.4 eV per formula unit
SG ... Cmmm (65)

Cell and atoms, written as POSCAR:
```
Pm11Cd9Hg4
1.0
7.576 -11.498 0.000
7.576 11.498 0.000
0.000 0.000 3.820
Pm Cd Hg
11 9 4
direct
0.000 0.000 0.000
0.063 0.412 0.000
0.167 0.833 0.000
0.268 0.268 0.000
0.357 0.643 0.000
0.412 0.063 0.000
0.588 0.937 0.000
0.643 0.357 0.000
0.732 0.732 0.000
0.833 0.167 0.000
0.937 0.588 0.000
0.053 0.208 0.500
0.153 0.632 0.500
0.208 0.053 0.500
0.368 0.847 0.500
0.500 0.500 0.500
0.632 0.153 0.500
0.792 0.947 0.500
0.847 0.368 0.500
0.947 0.792 0.500
0.257 0.447 0.500
0.447 0.257 0.500
0.553 0.743 0.500
0.743 0.553 0.500
```


Record 9
Computed, not measured: crystalline Pm6CdHg3 at its relaxed geometry at the PBE level of DFT.

Output
Calculated formation energy ... -3.1 eV per formula unit
SG ... P2_1/m (11)

Cell and atoms, written as POSCAR:
```
Pm6CdHg3
1.0
9.424 0.000 0.000
0.000 5.403 0.000
-3.586 0.000 11.326
Pm Cd Hg
12 2 6
direct
0.031 0.250 0.407
0.156 0.750 0.182
0.242 0.250 0.000
0.345 0.750 0.808
0.371 0.250 0.346
0.403 0.250 0.623
0.597 0.750 0.377
0.629 0.750 0.654
0.655 0.250 0.192
0.758 0.750 0.000
0.844 0.250 0.818
0.969 0.750 0.593
0.454 0.750 0.095
0.546 0.250 0.905
0.032 0.750 0.879
0.123 0.250 0.716
0.273 0.750 0.475
0.727 0.250 0.525
0.877 0.750 0.284
0.968 0.250 0.121
```


Record 10
Computed, not measured: crystalline PmCdHg at its relaxed geometry at the PBE level of DFT.

Output
Calculated formation energy ... -0.8 eV per formula unit
Polymorph energy (0 for the lowest one) ... 128 meV/atom
SG ... F-43m (216)

Cell and atoms, written as POSCAR:
```
PmCdHg
1.0
0.000 3.513 3.513
3.513 0.000 3.513
3.513 3.513 0.000
Pm Cd Hg
1 1 1
direct
0.000 0.000 0.000
0.500 0.500 0.500
0.250 0.250 0.250
```


Record 11
Computed, not measured: crystalline PmCd4Hg7 at its relaxed geometry at the PBE level of DFT.

Output
Calculated formation energy ... -1.3 eV per formula unit
Polymorph energy (0 for the lowest one) ... 0 meV/atom
SG ... P-1 (2)

Cell and atoms, written as POSCAR:
```
PmCd4Hg7
1.0
5.954 0.000 0.000
-1.072 6.443 0.000
-0.487 -1.784 7.746
Pm Cd Hg
1 4 7
direct
0.000 0.000 0.000
0.229 0.252 0.686
0.324 0.424 0.340
0.676 0.576 0.660
0.771 0.748 0.314
0.000 0.500 0.000
0.178 0.736 0.650
0.291 0.934 0.340
0.479 0.752 0.989
0.521 0.248 0.011
0.709 0.066 0.660
0.822 0.264 0.350
```